# ZrZnIn2

A geometry-optimized ZrZnIn2 structure (GGA-PBE, Alexandria via LeMat-Bulk).

Results
- ΔH_f (0 K) (eV per atom) = -0.155
- DOS(E_F) (states/eV/cell) = 2.964
- magnetic moment (μB/f.u.) = 0.000

a b c (Å): 6.1105 8.9537 3.1263
angles (deg): 90.00 90.16 90.00
Last column: nearest neighbours and their distance in Å.
Space group C2/m (No. 12)
Symmetry-distinct sites (fractional):
Zr: 0.0000 0.0000 0.0000  2 Zn 3.06, 2 Zr 3.13, 8 In 3.13
Zn: 0.0000 0.5000 0.0000  2 Zr 3.06, 2 Zn 3.13, 8 In 3.13
In: 0.2500 0.2500 0.5000  4 In 3.06-3.13, 4 Zr 3.13, 4 Zn 3.13

# Tb4SmTh

A geometry-optimized Tb4SmTh structure (GGA-PBE, Alexandria via LeMat-Bulk).

Results
- ΔH_f (0 K) (eV per atom) = 0.328
- DOS(E_F) (states/eV/cell) = 54.195
- magnetic moment (μB/f.u.) = 2.371

a b c (Å): 9.2930 9.2930 9.2930
angles (deg): 90.00 90.00 90.00
Last column: nearest neighbours and their distance in Å.
Space group F-43m (No. 216)
Symmetry-distinct sites (fractional):
Tb: 0.1242 0.1242 0.1242  6 Tb 3.26-3.31
Sm: 0.0000 0.0000 0.5000  12 Tb 3.85, 4 Th 4.02
Th: 0.2500 0.2500 0.7500  12 Tb 3.85, 4 Sm 4.02

# NaDySn2S4

A geometry-optimized NaDySn2S4 structure (GGA-PBE, Alexandria via LeMat-Bulk).

Results
- E_form (uncorrected) (eV per atom) = -1.06
- magnetic moment (μB/f.u.) = 0.000

a b c (Å): 6.9863 4.0561 7.1235
angles (deg): 90.00 108.36 90.00
Last column: nearest neighbours and their distance in Å.
Space group P2/m (No. 10)
Symmetry-distinct sites (fractional):
Na: 0.0000 0.0000 0.0000  6 S 2.85-2.90
Dy: 0.5000 0.5000 0.0000  6 S 2.75-2.80
Sn: 0.0000 0.5000 0.5000  6 S 2.97-3.00
Sn: 0.5000 0.0000 0.5000  6 S 2.88-2.89
S: 0.2612 0.5000 0.2413  1 Dy 2.75, 3 Sn 2.89-2.97, 2 Na 2.90
S: 0.2658 0.0000 0.7682  2 Dy 2.80, 1 Na 2.85, 3 Sn 2.88-3.00

# CaNd6Sm3Dy2

A geometry-optimized CaNd6Sm3Dy2 structure (GGA-PBE, Alexandria via LeMat-Bulk).

Results
- ΔH_f (0 K) (eV per atom) = 0.033
- DOS(E_F) (states/eV/cell) = 29.810
- magnetic moment (μB/f.u.) = 0.000

a b c (Å): 6.3546 11.0094 12.0289
angles (deg): 90.00 100.08 90.00
Last column: nearest neighbours and their distance in Å.
Space group C2/m (No. 12)
Symmetry-distinct sites (fractional):
Ca: 0.0000 0.0000 0.0000  6 Dy 3.67, 6 Nd 3.67-3.68
Nd: 0.2434 0.5000 0.2511  3 Sm 3.60-3.64, 6 Nd 3.63-3.75, 2 Dy 3.64, 1 Ca 3.68
Nd: 0.2458 0.3297 0.7496  3 Sm 3.61-3.65, 2 Dy 3.63, 6 Nd 3.63-3.75, 1 Ca 3.67
Sm: 0.0000 0.1664 0.5000  6 Nd 3.61-3.65, 6 Sm 3.66-3.67
Sm: 0.0000 0.5000 0.5000  6 Nd 3.60-3.65, 6 Sm 3.67
Dy: 0.0000 0.3333 0.0000  6 Nd 3.63-3.64, 3 Dy 3.67, 3 Ca 3.67

# CdPdPt

A geometry-optimized CdPdPt structure (GGA-PBE, Alexandria via LeMat-Bulk).

Results
- ΔH_f (0 K) (eV per atom) = 0.005
- DOS(E_F) (states/eV/cell) = 41.423
- magnetic moment (μB/f.u.) = 0.000

a b c (Å): 4.6923 12.7658 14.8081
angles (deg): 90.00 90.00 90.00
Last column: nearest neighbours and their distance in Å.
Space group Fmmm (No. 69)
Symmetry-distinct sites (fractional):
Cd: 0.0000 0.1641 0.1922  2 Pd 2.60-2.87, 3 Cd 2.78-2.90, 2 Pt 2.85
Pd: 0.0000 0.0000 0.0884  2 Cd 2.60, 3 Pd 2.62-2.83, 4 Pt 2.74
Pd: 0.0000 0.1961 0.0000  4 Pd 2.72-2.83, 6 Pt 2.82-2.93, 2 Cd 2.87
Pt: 0.0000 0.1106 0.4074  5 Pd 2.74-2.93, 2 Pt 2.74-2.82, 2 Cd 2.85

# NiAs2Pb

A geometry-optimized NiAs2Pb structure (GGA-PBE, Alexandria via LeMat-Bulk).

Results
- ΔH_f (0 K) (eV per atom) = -0.070
- DOS(E_F) (states/eV/cell) = 1.870
- magnetic moment (μB/f.u.) = 0.000

a b c (Å): 4.5170 3.8452 5.0242
angles (deg): 90.00 106.31 90.00
Last column: nearest neighbours and their distance in Å.
Space group P2/m (No. 10)
Symmetry-distinct sites (fractional):
Ni: 0.0000 0.0000 0.0000  4 As 2.39
As: 0.2253 0.5000 0.8519  2 Ni 2.39, 1 As 2.51
Pb: 0.5000 0.0000 0.5000  2 Ni 2.87, 4 As 3.10

What is the formula in the third record?
NaDySn2S4

Number 3 is which compound?
NaDySn2S4

The highest magnetic moment belongs to which entry?
Tb4SmTh

magnetic moment of number 1 (ZrZnIn2)?
0.000 μB/f.u.